No. 1
DFT (PBE) results for a relaxed structure of Ho2BiI2.

Properties
ΔE_f (raw) ... -1.088 eV per atom
Total energy ... -21.58 eV for the cell shown

Cell: 11.544 11.544 11.544 Å, 21.84 21.84 21.84°
Fractional positions:
Ho 0.115 0.115 0.115
Ho 0.885 0.885 0.885
Bi 0.500 0.500 0.500
I 0.274 0.274 0.274
I 0.726 0.726 0.726

No. 2
DFT (PBE) results for a relaxed structure of Ho2BiI3.

Properties
ΔE_f (raw) ... -1.047 eV per atom
Total energy ... -47.94 eV for the cell shown

Cell: 9.785 9.785 14.025 Å, 125.43 125.43 26.64°
Fractional positions:
Ho 0.105 0.105 0.447
Ho 0.366 0.366 0.168
Ho 0.634 0.634 0.832
Ho 0.895 0.895 0.553
Bi 0.095 0.095 0.662
Bi 0.905 0.905 0.338
I 0.163 0.163 0.019
I 0.262 0.262 0.396
I 0.445 0.445 0.749
I 0.555 0.555 0.251
I 0.738 0.738 0.604
I 0.837 0.837 0.981

No. 3
DFT (PBE) results for a relaxed structure of HoBiIO6.

Properties
ΔE_f (raw) ... -1.401 eV per atom
Total energy ... -104.74 eV for the cell shown

Cell: 5.660 5.660 9.765 Å, 90.00 90.00 120.00°
Fractional positions:
Ho 0.333 0.667 0.250
Ho 0.667 0.333 0.750
Bi 0.000 0.000 0.000
Bi 0.000 0.000 0.500
I 0.333 0.667 0.750
I 0.667 0.333 0.250
O 0.033 0.370 0.636
O 0.033 0.663 0.864
O 0.337 0.370 0.864
O 0.337 0.967 0.636
O 0.370 0.033 0.136
O 0.370 0.337 0.364
O 0.630 0.663 0.636
O 0.630 0.967 0.864
O 0.663 0.033 0.364
O 0.663 0.630 0.136
O 0.967 0.337 0.136
O 0.967 0.630 0.364

No. 4
DFT (PBE) results for a relaxed structure of Ho2BiIO8.

Properties
ΔE_f (raw) ... -1.856 eV per atom
Total energy ... -76.52 eV for the cell shown

Cell: 5.038 5.038 6.944 Å, 90.00 90.00 90.40°
Fractional positions:
Ho 0.000 0.000 0.249
Ho 0.000 0.000 0.751
Bi 0.500 0.500 0.000
I 0.500 0.500 0.500
O 0.184 0.184 0.000
O 0.231 0.231 0.500
O 0.317 0.683 0.298
O 0.317 0.683 0.702
O 0.683 0.317 0.298
O 0.683 0.317 0.702
O 0.769 0.769 0.500
O 0.816 0.816 0.000

No. 5
DFT (PBE) results for a relaxed structure of Ho5InBi4.

Properties
Total energy ... -47.75 eV for the cell shown
Energy of formation from the pure elements ... -0.660 eV per atom

Cell: 7.705 7.705 7.705 Å, 99.56 99.56 131.90°
Fractional positions:
Ho 0.000 0.000 0.000
Ho 0.198 0.602 0.800
Ho 0.398 0.198 0.596
Ho 0.602 0.802 0.404
Ho 0.802 0.398 0.200
In 0.500 0.500 0.000
Bi 0.099 0.300 0.399
Bi 0.300 0.901 0.201
Bi 0.700 0.099 0.799
Bi 0.901 0.700 0.601

No. 6
DFT (PBE) results for a relaxed structure of HoInBi2.

Properties
Offset from the most stable computed form ... 0 meV per atom
Total energy ... -16.56 eV for the cell shown
Energy of formation from the pure elements ... -0.370 eV per atom

Cell: 4.189 4.189 6.697 Å, 90.00 90.00 90.00°
Fractional positions:
Ho 0.000 0.000 0.000
In 0.000 0.000 0.500
Bi 0.500 0.500 0.238
Bi 0.500 0.500 0.762

No. 7
DFT (PBE) results for a relaxed structure of Ho6In5Bi.

Properties
Total energy ... -50.57 eV for the cell shown
Energy of formation from the pure elements ... -0.461 eV per atom

Cell: 7.863 7.863 8.684 Å, 90.00 90.00 143.41°
Fractional positions:
Ho 0.000 0.000 0.248
Ho 0.000 0.000 0.752
Ho 0.333 0.667 0.246
Ho 0.333 0.667 0.754
Ho 0.667 0.333 0.246
Ho 0.667 0.333 0.754
In 0.166 0.834 0.000
In 0.174 0.826 0.500
In 0.500 0.500 0.000
In 0.826 0.174 0.500
In 0.834 0.166 0.000
Bi 0.500 0.500 0.500

No. 8
DFT (PBE) results for a relaxed structure of Ho4InBi.

Properties
Total energy ... -52.68 eV for the cell shown
Energy of formation from the pure elements ... -0.235 eV per atom

Cell: 11.057 11.057 6.414 Å, 90.00 90.00 150.49°
Fractional positions:
Ho 0.064 0.936 0.750
Ho 0.209 0.791 0.000
Ho 0.209 0.791 0.500
Ho 0.366 0.634 0.750
Ho 0.634 0.366 0.250
Ho 0.791 0.209 0.000
Ho 0.791 0.209 0.500
Ho 0.936 0.064 0.250
In 0.077 0.923 0.250
In 0.923 0.077 0.750
Bi 0.349 0.651 0.250
Bi 0.651 0.349 0.750

No. 9
DFT (PBE) results for a relaxed structure of Ho12In5Bi2.

Properties
Total energy ... -79.73 eV for the cell shown
Energy of formation from the pure elements ... -0.176 eV per atom

Cell: 9.259 9.259 10.112 Å, 99.98 99.98 45.39°
Fractional positions:
Ho 0.012 0.012 0.297
Ho 0.066 0.573 0.895
Ho 0.090 0.613 0.446
Ho 0.387 0.910 0.554
Ho 0.397 0.397 0.190
Ho 0.427 0.934 0.105
Ho 0.573 0.066 0.895
Ho 0.603 0.603 0.810
Ho 0.613 0.090 0.446
Ho 0.910 0.387 0.554
Ho 0.934 0.427 0.105
Ho 0.988 0.988 0.703
In 0.168 0.168 0.826
In 0.209 0.209 0.346
In 0.500 0.500 0.500
In 0.791 0.791 0.654
In 0.832 0.832 0.174
Bi 0.254 0.746 0.000
Bi 0.746 0.254 0.000

No. 10
DFT (PBE) results for a relaxed structure of Ho4InBi2.

Properties
Total energy ... -63.45 eV for the cell shown
Energy of formation from the pure elements ... -0.416 eV per atom

Cell: 6.042 6.652 10.540 Å, 90.00 102.81 90.00°
Fractional positions:
Ho 0.012 0.250 0.341
Ho 0.139 0.250 0.955
Ho 0.457 0.506 0.240
Ho 0.457 0.994 0.240
Ho 0.543 0.006 0.760
Ho 0.543 0.494 0.760
Ho 0.861 0.750 0.045
Ho 0.988 0.750 0.659
In 0.065 0.250 0.667
In 0.935 0.750 0.333
Bi 0.309 0.750 0.958
Bi 0.416 0.750 0.501
Bi 0.584 0.250 0.499
Bi 0.691 0.250 0.042

No. 11
DFT (PBE) results for a relaxed structure of HoInBi2.

Properties
Offset from the most stable computed form ... 167 meV per atom
Total energy ... -15.89 eV for the cell shown
Energy of formation from the pure elements ... -0.203 eV per atom

Cell: 7.434 7.434 7.434 Å, 37.08 37.08 37.08°
Fractional positions:
Ho 0.000 0.000 0.000
In 0.832 0.832 0.832
Bi 0.413 0.413 0.413
Bi 0.592 0.592 0.592

No. 12
DFT (PBE) results for a relaxed structure of Ho6In2Bi.

Properties
Total energy ... -40.24 eV for the cell shown
Energy of formation from the pure elements ... -0.379 eV per atom

Cell: 8.707 8.707 3.971 Å, 90.00 90.00 120.00°
Fractional positions:
Ho 0.000 0.389 0.000
Ho 0.000 0.719 0.500
Ho 0.281 0.281 0.500
Ho 0.389 0.000 0.000
Ho 0.611 0.611 0.000
Ho 0.719 0.000 0.500
In 0.333 0.667 0.500
In 0.667 0.333 0.500
Bi 0.000 0.000 0.000

- Which formula does entry 8 have?
  Ho4InBi